# LaMg2Rh2

An optimized crystal structure of LaMg2Rh2 (GGA-PBEsol, Alexandria).

Results
calculated density	6.546	Mg/m³
ΔE_f	-0.436	eV per atom
polymorph energy (0 for the lowest one)	0.038	eV per atom

Cell lengths 4.094, 4.094, 11.906 Å; angles 90.00, 90.00, 90.00 degrees
Space group I4/mmm (No. 139)
Unique sites:
La1 0.000 0.000 0.000
Mg1 0.000 0.500 0.250
Rh1 0.000 0.000 0.394


# Y2PSe

An optimized crystal structure of Y2PSe (GGA-PBEsol, Alexandria).

Results
calculated density	5.332	Mg/m³
uncorrected formation energy	-1.82	eV/atom
polymorph energy (0 for the lowest one)	0.036	eV per atom

Cell lengths 3.991, 3.991, 5.626 Å; angles 90.00, 90.00, 90.00 degrees
Space group P4/mmm (No. 123)
Unique sites:
Y1 0.000 0.000 0.000
Y2 0.500 0.500 0.500
P1 0.000 0.000 0.500
Se1 0.500 0.500 0.000


# Er2Ge3Pt9

An optimized crystal structure of Er2Ge3Pt9 (GGA-PBEsol, Alexandria).

Results
calculated density	16.790	Mg/m³
ΔE_f	-0.804	eV per atom

Cell lengths 13.311, 7.720, 9.951 Å; angles 90.00, 116.76, 90.00 degrees
Space group C2/c (No. 15)
Unique sites:
Er1 0.169 0.085 0.251
Ge1 0.089 0.229 0.497
Ge2 0.250 0.250 0.000
Pt1 0.000 0.368 0.250
Pt2 0.059 0.082 0.923
Pt3 0.106 0.308 0.743
Pt4 0.113 0.411 0.078
Pt5 0.223 0.418 0.420


# TaSiRu2

An optimized crystal structure of TaSiRu2 (GGA-PBEsol, Alexandria).

Results
calculated density	12.200	Mg/m³
uncorrected formation energy	-0.48	eV/atom

Cell lengths 4.138, 4.138, 3.268 Å; angles 90.00, 90.00, 90.00 degrees
Space group P4/mmm (No. 123)
Unique sites:
Ta1 0.000 0.000 0.000
Si1 0.500 0.500 0.000
Ru1 0.000 0.500 0.500


# SrY2Pb

An optimized crystal structure of SrY2Pb (GGA-PBEsol, Alexandria).

Results
calculated density	6.524	Mg/m³
ΔE_f	-0.208	eV per atom

Cell lengths 4.963, 4.963, 4.883 Å; angles 90.00, 90.00, 90.00 degrees
Space group P4/mmm (No. 123)
Unique sites:
Sr1 0.000 0.000 0.000
Y1 0.000 0.500 0.500
Pb1 0.500 0.500 0.000


# CrNiBi2

An optimized crystal structure of CrNiBi2 (GGA-PBEsol, Alexandria).

Results
calculated density	10.910	Mg/m³
ΔE_f	0.470	eV per atom

Cell lengths 6.853, 6.853, 6.853 Å; angles 90.00, 90.00, 90.00 degrees
Space group Fm-3m (No. 225)
Unique sites:
Cr1 0.000 0.000 0.000
Ni1 0.000 0.000 0.500
Bi1 0.250 0.250 0.250


no.,E (eV/atom)
1,-5.45
2,-7.64
3,-7.04
4,-10.14
5,-5.08
6,-5.77